Model w:
This record from Alexandria describes an optimized crystal structure of ReRhAu2. The functional is GGA-PBE.

The structure in POSCAR format:
```
ReRhAu2
1.0
9.272 -1.420 -0.007
9.272 1.420 -0.007
9.056 0.000 2.443
Au Re Rh
2 1 1
Direct
0.750 0.750 0.750
0.250 0.250 0.250
0.500 0.500 0.500
0.000 0.000 0.000
```

Computed properties:
The value obtained for the density of states at the Fermi level is 1.503 states/eV per atom. As for the space group: R-3m, No. 166.

=====

Model x:
This record from Alexandria describes an optimized crystal structure of ReRhAu2. The functional is GGA-PBE.

The structure in POSCAR format:
```
ReRhAu2
1.0
-2.015 2.015 3.943
2.015 -2.015 3.943
2.015 2.015 -3.943
Rh Au Re
1 2 1
Direct
0.000 0.000 0.000
0.250 0.750 0.500
0.750 0.250 0.500
0.500 0.500 0.000
```

Computed properties:
The value obtained for the density of states at the Fermi level is 0.998 states/eV per atom. As for the space group: I4/mmm, No. 139.

=====

Tell me which of them is the least stable. Sure, it is model x.

=====

Model w:
This record from Alexandria describes an optimized crystal structure of ReRhAu2. The functional is GGA-PBE.

The structure in POSCAR format:
```
ReRhAu2
1.0
-4.117 -2.293 1.260
-1.156 -0.513 -4.711
1.330 -2.422 -0.063
Au Rh Re
2 1 1
Direct
0.500 0.000 0.000
0.000 0.500 0.000
0.000 0.000 0.500
0.500 0.500 0.500
```

Computed properties:
The value obtained for the density of states at the Fermi level is 1.030 states/eV per atom. As for the space group: P4/mmm, No. 123.

=====

Model x:
This record from Alexandria describes an optimized crystal structure of ReRhAu2. The functional is GGA-PBE.

The structure in POSCAR format:
```
ReRhAu2
1.0
-0.077 2.794 -0.307
-2.776 -0.124 -0.432
-1.294 0.849 8.066
Rh Re Au
1 1 2
Direct
0.500 0.500 0.727
0.000 0.000 0.519
0.500 0.500 0.264
0.000 0.000 0.990
```

Computed properties:
The value obtained for the density of states at the Fermi level is 0.707 states/eV per atom. As for the space group: P4mm, No. 99.

=====

Model y:
This record from Alexandria describes an optimized crystal structure of ReRhAu2. The functional is GGA-PBE.

The structure in POSCAR format:
```
ReRhAu2
1.0
-2.431 -1.252 4.943
1.154 3.016 4.635
-2.080 -0.433 -5.234
Au Rh Re
2 1 1
Direct
0.988 0.988 0.000
0.262 0.762 0.500
0.732 0.232 0.500
0.519 0.519 0.000
```

Computed properties:
The value obtained for the density of states at the Fermi level is 0.913 states/eV per atom. As for the space group: Imm2, No. 44.

=====

Model z:
This record from Alexandria describes an optimized crystal structure of ReRhAu2. The functional is GGA-PBE.

The structure in POSCAR format:
```
ReRhAu2
1.0
-4.760 4.487 -3.408
-3.752 -5.852 -2.465
-5.757 -0.632 -0.773
Re Au Rh
2 4 2
Direct
0.750 0.250 0.500
0.000 0.000 0.000
0.375 0.369 0.750
0.119 0.625 0.250
0.631 0.125 0.250
0.875 0.881 0.750
0.500 0.500 0.000
0.250 0.750 0.500
```

Computed properties:
The value obtained for the density of states at the Fermi level is 1.027 states/eV per atom. As for the space group: I-42d, No. 122.

=====

Tell me which of them is the least stable. Sure, it is model z.

=====

Model w:
This record from Alexandria describes an optimized crystal structure of ReRhAu2. The functional is GGA-PBE.

The structure in POSCAR format:
```
ReRhAu2
1.0
2.786 0.000 0.000
0.000 4.798 0.000
0.000 0.000 4.923
Au Re Rh
2 1 1
Direct
0.500 0.500 0.000
0.000 0.000 0.000
0.500 0.000 0.500
0.000 0.500 0.500
```

Computed properties:
The value obtained for the density of states at the Fermi level is 1.456 states/eV per atom. As for the space group: Pmmm, No. 47.

=====

Model x:
This record from Alexandria describes an optimized crystal structure of ReRhAu2. The functional is GGA-PBE.

The structure in POSCAR format:
```
ReRhAu2
1.0
5.532 0.991 -0.367
2.577 3.417 3.660
-2.894 -4.684 -1.185
Re Rh Au
1 1 2
Direct
0.000 0.500 0.500
0.500 0.000 0.500
0.247 0.247 0.000
0.753 0.753 0.000
```

Computed properties:
The value obtained for the density of states at the Fermi level is 1.187 states/eV per atom. As for the space group: Immm, No. 71.

=====

Model y:
This record from Alexandria describes an optimized crystal structure of ReRhAu2. The functional is GGA-PBE.

The structure in POSCAR format:
```
ReRhAu2
1.0
-2.539 0.723 -0.802
0.484 -0.163 2.711
2.629 9.332 0.093
Au Rh Re
2 1 1
Direct
0.000 0.000 0.247
0.000 0.000 0.753
0.500 0.500 0.000
0.500 0.500 0.500
```

Computed properties:
The value obtained for the density of states at the Fermi level is 1.110 states/eV per atom. As for the space group: Cmmm, No. 65.

=====

Tell me which of them is the least stable. Sure, it is model w.

=====

Model w:
This record from Alexandria describes an optimized crystal structure of ReRh2Au. The functional is GGA-PBE.

The structure in POSCAR format:
```
ReRh2Au
1.0
-1.454 0.646 2.272
-2.359 -3.148 -0.614
3.368 -3.117 3.042
Au Rh Re
1 2 1
Direct
0.000 0.000 0.497
0.500 0.500 0.244
0.000 0.000 0.985
0.500 0.500 0.775
```

Computed properties:
The value obtained for the density of states at the Fermi level is 0.827 states/eV per atom. As for the space group: Pmm2, No. 25.

=====

Model x:
This record from Alexandria describes an optimized crystal structure of ReRh2Au. The functional is GGA-PBE.

The structure in POSCAR format:
```
ReRh2Au
1.0
2.805 -3.879 0.000
2.805 3.879 0.000
0.000 0.000 2.781
Rh Re Au
2 1 1
Direct
0.000 0.500 0.000
0.500 0.000 0.000
0.000 0.000 0.500
0.500 0.500 0.500
```

Computed properties:
The value obtained for the density of states at the Fermi level is 1.170 states/eV per atom. As for the space group: Cmmm, No. 65.

=====

Model y:
This record from Alexandria describes an optimized crystal structure of ReRh2Au. The functional is GGA-PBE.

The structure in POSCAR format:
```
ReRh2Au
1.0
-4.734 -3.838 6.963
-6.114 -4.988 4.832
-3.771 -6.168 5.775
Rh Au Re
2 1 1
Direct
0.006 0.006 0.006
0.494 0.494 0.494
0.250 0.250 0.250
0.750 0.750 0.750
```

Computed properties:
The value obtained for the density of states at the Fermi level is 1.035 states/eV per atom. As for the space group: R-3m, No. 166.

=====

Tell me which of them is the least stable. Sure, it is model x.